1.
Crystalline Mn2CrIr at its relaxed geometry. Source: Alexandria via LeMat-Bulk, functional PBE-GGA.

The space group is Pm (No. 6) and the conventional cell measures 2.652, 3.610 and 5.244 Å, with angles of 90.00, 90.09 and 90.00 degrees. The distinct sites, in fractional coordinates, are Mn at (0.000, 0.000, 0.000), Mn at (0.500, 0.500, 0.231), Cr at (0.999, 0.000, 0.487) and Ir at (0.499, 0.500, 0.729).

As for the total energy: -0.340 Ha/atom. The calculation puts the energy relative to the elements at -5.13 kJ per mole of atoms. For the volume, the calculation gives 50.2 Å³/f.u.

---

2.
Crystalline MnCrIr2 at its relaxed geometry. Source: Alexandria via LeMat-Bulk, functional PBE-GGA.

The space group is I-4m2 (No. 119) and the conventional cell measures 3.744, 3.744 and 7.642 Å, with angles of 90.00, 90.00 and 90.00 degrees. The distinct sites, in fractional coordinates, are Mn at (0.000, 0.000, 0.000), Cr at (0.000, 0.500, 0.750), Ir at (0.000, 0.000, 0.500) and Ir at (0.000, 0.500, 0.250).

As for the total energy: -0.343 Ha/atom. Its offset from the most stable computed form is 33 kJ/mol of formula units. The calculation puts the energy relative to the elements at -19.69 kJ per mole of atoms. For the volume, the calculation gives 53.6 Å³/f.u.

---

3.
Crystalline MnCrIr2 at its relaxed geometry. Source: Alexandria via LeMat-Bulk, functional PBE-GGA.

The space group is C2/m (No. 12) and the conventional cell measures 8.772, 2.735 and 4.652 Å, with angles of 90.00, 100.65 and 90.00 degrees. The distinct sites, in fractional coordinates, are Mn at (0.000, 0.000, 0.000), Cr at (0.000, 0.500, 0.500) and Ir at (0.247, 0.000, 0.747).

As for the total energy: -0.340 Ha/atom. Its offset from the most stable computed form is 62 kJ/mol of formula units. The calculation puts the energy relative to the elements at -12.43 kJ per mole of atoms. For the volume, the calculation gives 54.8 Å³/f.u.